# 1
4
Lattice="2.6098 0.0000 0.0000 0.0000 4.6859 -0.0342 -1.3049 -2.0157 4.2851" Properties=species:S:1:pos:R:3 comment="LiRh, PBEsol geometry, DFT SCAN" crystal_system=monoclinic ef_ev_per_atom=-0.17 pbc="T T T"
Rh 0.0000 -1.3939 3.1698
Li 1.3049 0.9755 3.2343
Rh 1.3049 4.0641 1.0811
Li 0.0000 1.6947 1.0166

# 2
4
Lattice="2.6802 0.0000 0.0000 1.3401 2.3211 0.0000 1.3401 0.7737 9.0600" Properties=species:S:1:pos:R:3 comment="LiRh, PBEsol geometry, DFT SCAN" crystal_system=trigonal ef_ev_per_atom=-0.02 pbc="T T T"
Rh 2.6802 1.5474 7.9834
Rh 2.6802 1.5474 1.0766
Li 1.3401 0.7737 5.8641
Li 4.0203 2.3211 3.1959

# 3
2
Lattice="2.6231 0.0000 0.0000 1.3115 2.2716 0.0000 1.3115 0.7572 4.3242" Properties=species:S:1:pos:R:3 comment="LiRh, PBEsol geometry, DFT SCAN" crystal_system=trigonal ef_ev_per_atom=-0.21 pbc="T T T"
Rh 2.6231 1.5144 2.1621
Li 0.0000 0.0000 0.0000

# 4
2
Lattice="2.6012 -0.0087 0.0000 -1.2285 2.2928 0.0000 0.0000 0.0000 4.3570" Properties=species:S:1:pos:R:3 comment="LiRh, PBEsol geometry, DFT SCAN" crystal_system=orthorhombic ef_ev_per_atom=-0.19 pbc="T T T"
Li 0.0000 0.0000 0.0000
Rh 0.6863 1.1420 2.1785

# 5
6
Lattice="4.6599 0.0000 0.0000 2.3300 4.0356 0.0000 2.3300 1.3452 3.8048" Properties=species:S:1:pos:R:3 comment="Li4RuRh, PBEsol geometry, DFT SCAN" crystal_system=cubic ef_ev_per_atom=0.22 pbc="T T T"
Ru 0.0000 0.0000 0.0000
Li 4.6599 2.6904 3.3277
Rh 6.9899 4.0356 2.8536
Li 5.8237 2.0185 1.4273
Li 4.6599 4.0342 1.4273
Li 3.4962 2.0185 1.4273

# 6
4
Lattice="-2.7667 2.1226 0.7288 -2.0835 -2.8593 0.4183 0.9503 -0.1154 3.9441" Properties=species:S:1:pos:R:3 comment="LiRu2Rh, PBEsol geometry, DFT SCAN" crystal_system=tetragonal ef_ev_per_atom=0.24 pbc="T T T"
Ru -1.3834 1.0613 0.3644
Li -1.9499 -0.4260 2.5456
Ru -1.0417 -1.4296 0.2092
Rh 0.4752 -0.0577 1.9720

# 7
5
Lattice="-3.4001 1.2086 2.5675 -0.3073 -4.0856 -2.3034 0.4261 -3.7441 2.3267" Properties=species:S:1:pos:R:3 comment="Li2RhS2, PBEsol geometry, DFT SCAN" crystal_system=tetragonal formation_energy_uncorrected_kj_per_mol_fu=-106.9 pbc="T T T"
Rh 0.0000 0.0000 0.0000
S -2.3841 -3.9444 2.5189
Li -1.1079 -4.8558 0.8186
S -0.8972 -2.6767 0.0718
Li -2.1735 -1.7653 1.7722

# 8
5
Lattice="-4.4294 0.3887 0.5468 0.3267 -1.9397 4.0250 0.5860 4.0195 1.8895" Properties=species:S:1:pos:R:3 comment="Li3SbRh, PBEsol geometry, DFT SCAN" crystal_system=cubic formation_energy_uncorrected_kj_per_mol_fu=101.7 pbc="T T T"
Sb -1.7584 1.2342 3.2307
Li 0.1633 -0.9699 2.0125
Li -2.2147 0.1944 0.2734
Li 0.2930 2.0097 0.9448
Rh 0.0000 0.0000 0.0000